Below is a geometry-optimized RbSr2Gd structure, with properties calculated at the PBE-GGA level.

Cell lengths 4.1060, 4.1060, 12.6714 Å; angles 90.00, 90.00, 90.00 degrees
Closest atoms and distances in Å follow each position.
Sites, in units of the cell vectors:
Sr  0.0000  0.0000  0.7951  4 Gd 3.89, 4 Sr 4.11
Sr  0.0000  0.0000  0.2049  4 Gd 3.89, 4 Sr 4.11
Gd  0.5000  0.5000  0.0000  8 Sr 3.89, 4 Gd 4.11
Rb  0.5000  0.5000  0.5000  4 Rb 4.11

Computed properties:
* volume: 213.63 Å³/cell
* spin magnetization: 8.209 μB per formula unit
* ΔH_f (0 K): 0.73 eV/f.u.